Record 1
Compound: CoRh2Se
Source: Alexandria
Functional: PBE
Structure: optimized geometry

Cell lengths 3.859, 3.859, 3.718 Å; angles 90.00, 90.00, 90.00 degrees
Positions (direct):
Co1 0.000 0.000 0.000
Rh1 0.000 0.500 0.500
Rh2 0.500 0.000 0.500
Se1 0.500 0.500 0.000

Summary:
energy relative to the elements, uncorrected	0.217	eV/atom


Record 2
Compound: ErSc4Cd2
Source: Alexandria
Functional: PBE
Structure: optimized geometry

Cell lengths 6.115, 6.115, 6.115 Å; angles 103.75, 103.75, 121.64 degrees
Positions (direct):
Er1 0.000 0.000 0.000
Sc1 0.300 0.300 0.600
Sc2 0.300 0.700 0.000
Sc3 0.700 0.300 0.000
Sc4 0.700 0.700 0.400
Cd1 0.250 0.750 0.500
Cd2 0.750 0.250 0.500

Summary:
formation enthalpy at 0 K	0	meV/atom


Record 3
Compound: PmHoPt2
Source: Alexandria
Functional: PBE
Structure: optimized geometry

Cell lengths 3.525, 3.525, 7.097 Å; angles 90.00, 90.00, 90.00 degrees
Positions (direct):
Pm1 0.000 0.000 0.000
Ho1 0.000 0.000 0.500
Pt1 0.500 0.500 0.266
Pt2 0.500 0.500 0.734

Summary:
formation enthalpy at 0 K	-1155	meV/atom
ΔE to the lowest computed polymorph	76	meV per atom


Record 4
Compound: LiHf
Source: Alexandria
Functional: PBE
Structure: optimized geometry

Cell lengths 4.132, 4.132, 4.132 Å; angles 60.00, 60.00, 60.00 degrees
Positions (direct):
Li1 0.000 0.000 0.000
Hf1 0.750 0.750 0.750

Summary:
formation enthalpy at 0 K	2093	meV/atom
ΔE to the lowest computed polymorph	1769	meV per atom


Size of the total moment across the listed records, respectively: 0.75; 0.06; 0.00; 1.76 Bohr magnetons per cell.